(1)
The following is a GGA-PBE calculation of a geometry-optimized ZrNb2Te3 structure, from Alexandria via LeMat-Bulk.

final energy	-80.38	eV for the cell shown
energy relative to the elements, uncorrected	-346	meV per atom

a b c (Å): 10.3865 10.3865 7.7499
angles (deg): 99.42 99.42 20.62
Fractional positions:
Zr1 0.1582 0.1582 0.4850
Zr2 0.8418 0.8418 0.5150
Nb1 0.1870 0.1870 0.9763
Nb2 0.4562 0.4562 0.6199
Nb3 0.5438 0.5438 0.3801
Nb4 0.8130 0.8130 0.0237
Te1 0.0665 0.0665 0.1397
Te2 0.2788 0.2788 0.7512
Te3 0.3990 0.3990 0.2643
Te4 0.6010 0.6010 0.7357
Te5 0.7212 0.7212 0.2488
Te6 0.9335 0.9335 0.8603


(2)
The following is a GGA-PBE calculation of a geometry-optimized Zr2NbTe6 structure, from Alexandria via LeMat-Bulk.

final energy	-52.38	eV for the cell shown
energy relative to the elements, uncorrected	-707	meV per atom

a b c (Å): 9.4231 9.4231 8.5739
angles (deg): 110.94 110.94 23.54
Fractional positions:
Zr1 0.1652 0.1652 0.3294
Zr2 0.8348 0.8348 0.6706
Nb1 0.5000 0.5000 0.0000
Te1 0.0019 0.0019 0.7577
Te2 0.3340 0.3340 0.4149
Te3 0.3365 0.3365 0.9246
Te4 0.6635 0.6635 0.0754
Te5 0.6660 0.6660 0.5851
Te6 0.9981 0.9981 0.2423


(3)
The following is a GGA-PBE calculation of a geometry-optimized Th3Nb structure, from Alexandria via LeMat-Bulk.

formation energy from the elements	0.23	eV/atom
final energy	-31.43	eV for the cell shown

a b c (Å): 6.3750 6.3750 6.3750
angles (deg): 146.11 64.44 126.96
Fractional positions:
Th1 0.0001 0.0001 0.0000
Th2 0.2744 0.5000 0.7744
Th3 0.7256 0.5000 0.2256
Nb1 0.5011 0.0011 0.5000


(4)
The following is a GGA-PBE calculation of a geometry-optimized Th3Nb structure, from Alexandria via LeMat-Bulk.

formation energy from the elements	0.25	eV/atom
final energy	-62.64	eV for the cell shown

a b c (Å): 6.7395 6.7395 5.7887
angles (deg): 90.00 90.00 120.00
Fractional positions:
Th1 0.1746 0.3492 0.2500
Th2 0.1746 0.8254 0.2500
Th3 0.3492 0.1746 0.7500
Th4 0.6508 0.8254 0.2500
Th5 0.8254 0.1746 0.7500
Th6 0.8254 0.6508 0.7500
Nb1 0.3333 0.6667 0.7500
Nb2 0.6667 0.3333 0.2500


(5)
The following is a GGA-PBE calculation of a geometry-optimized ThNb2 structure, from Alexandria via LeMat-Bulk.

formation energy from the elements	0.19	eV/atom
final energy	-27.00	eV for the cell shown

a b c (Å): 6.1631 6.1631 6.1631
angles (deg): 147.28 147.28 46.95
Fractional positions:
Th1 0.0000 0.0000 0.0000
Nb1 0.3128 0.3128 0.0000
Nb2 0.6872 0.6872 0.0000


(6)
The following is a GGA-PBE calculation of a geometry-optimized Th3Nb structure, from Alexandria via LeMat-Bulk.

formation energy from the elements	0.46	eV/atom
final energy	-30.51	eV for the cell shown

a b c (Å): 3.2827 3.3358 10.6193
angles (deg): 90.00 90.00 90.00
Fractional positions:
Th1 0.0000 0.0000 0.0000
Th2 0.0000 0.5000 0.2819
Th3 0.5000 0.5000 0.7434
Nb1 0.5000 0.0000 0.4975


(7)
The following is a GGA-PBE calculation of a geometry-optimized ThNb2 structure, from Alexandria via LeMat-Bulk.

formation energy from the elements	0.05	eV/atom
final energy	-54.85	eV for the cell shown

a b c (Å): 5.7768 5.7768 5.7768
angles (deg): 60.00 60.00 60.00
Fractional positions:
Th1 0.1250 0.1250 0.1250
Th2 0.8750 0.8750 0.8750
Nb1 0.0000 0.5000 0.5000
Nb2 0.5000 0.0000 0.5000
Nb3 0.5000 0.5000 0.0000
Nb4 0.5000 0.5000 0.5000


(8)
The following is a GGA-PBE calculation of a geometry-optimized ThTi2Nb structure, from Alexandria via LeMat-Bulk.

formation energy from the elements	0.10	eV/atom
final energy	-32.88	eV for the cell shown

a b c (Å): 3.4502 3.4502 7.0796
angles (deg): 90.00 90.00 90.00
Fractional positions:
Th1 0.0000 0.0000 0.0000
Ti1 0.5000 0.5000 0.3002
Ti2 0.5000 0.5000 0.6998
Nb1 0.0000 0.0000 0.5000


(9)
The following is a GGA-PBE calculation of a geometry-optimized ThTi4Nb structure, from Alexandria via LeMat-Bulk.

formation energy from the elements	0.18	eV/atom
final energy	-47.99	eV for the cell shown

a b c (Å): 5.4631 5.4631 5.4631
angles (deg): 60.00 60.00 60.00
Fractional positions:
Th1 0.0000 0.0000 0.0000
Ti1 0.1291 0.6236 0.6236
Ti2 0.6236 0.1291 0.6236
Ti3 0.6236 0.6236 0.1291
Ti4 0.6236 0.6236 0.6236
Nb1 0.2500 0.2500 0.2500


(10)
The following is a GGA-PBE calculation of a geometry-optimized ThTi2Nb structure, from Alexandria via LeMat-Bulk.

formation energy from the elements	0.17	eV/atom
final energy	-32.59	eV for the cell shown

a b c (Å): 4.8569 4.8569 4.8569
angles (deg): 60.00 60.00 60.00
Fractional positions:
Th1 0.0000 0.0000 0.0000
Ti1 0.2500 0.2500 0.2500
Ti2 0.7500 0.7500 0.7500
Nb1 0.5000 0.5000 0.5000


(11)
The following is a GGA-PBE calculation of a geometry-optimized ThTi2Nb structure, from Alexandria via LeMat-Bulk.

formation energy from the elements	0.28	eV/atom
final energy	-32.15	eV for the cell shown

a b c (Å): 4.2440 4.2440 4.6299
angles (deg): 90.00 90.00 90.00
Fractional positions:
Th1 0.0000 0.0000 0.0000
Ti1 0.0000 0.5000 0.5000
Ti2 0.5000 0.0000 0.5000
Nb1 0.5000 0.5000 0.0000


(12)
The following is a GGA-PBE calculation of a geometry-optimized Th2NbTl structure, from Alexandria via LeMat-Bulk.

formation energy from the elements	0.47	eV/atom
final energy	-25.40	eV for the cell shown

a b c (Å): 11.8359 11.8359 11.8359
angles (deg): 16.12 16.12 16.12
Fractional positions:
Th1 0.0834 0.0834 0.0834
Th2 0.9166 0.9166 0.9166
Nb1 0.0000 0.0000 0.0000
Tl1 0.5000 0.5000 0.5000